# 1
Ce5In3Ga3: relaxed, PBE.

Summary:
As for the space group: P-62m, No. 189. Its density of states at the Fermi level is 27.95 states/eV/cell. As for the total energy: -4.3205 eV per atom. As for the energy relative to the elements: -51 meV/atom.

a = 3.2388 Å, b = 10.0496 Å, c = 10.0496 Å
α = 120.00°, β = 90.00°, γ = 90.00°
Closest atoms and distances in Å follow each position.
Atoms (fractional coordinates):
Ce 0.5000 0.6542 0.6542  2 Ga 3.02, 4 Ce 3.24-3.29, 2 In 3.26
Ce 0.5000 0.0000 0.3458  2 Ga 3.02, 4 Ce 3.24-3.29, 2 In 3.26
Ce 0.5000 0.6667 0.3333  5 Ce 3.24-3.29, 6 In 3.56
Ce 0.5000 0.3458 0.0000  2 Ga 3.02, 4 Ce 3.24-3.29, 2 In 3.26
Ce 0.5000 0.3333 0.6667  5 Ce 3.24-3.29, 6 In 3.56
Ga 0.5000 0.0000 0.8539  2 Ga 2.54, 2 In 2.79
Ga 0.5000 0.8539 0.0000  2 Ga 2.54, 2 In 2.79
Ga 0.5000 0.1461 0.1461  2 Ga 2.54, 2 In 2.79
In 0.0000 0.3724 0.3724  2 Ga 2.79
In 0.0000 0.0000 0.6276  2 Ga 2.79
In 0.0000 0.6276 0.0000  2 Ga 2.79

---

# 2
Ce2InGa12: relaxed, PBE.

Summary:
As for the space group: P4/nbm, No. 125. Its density of states at the Fermi level is 32.76 states/eV/cell. As for the total energy: -3.6373 eV per atom. As for the energy relative to the elements: -242 meV/atom.

a = 5.9407 Å, b = 5.9407 Å, c = 17.6479 Å
α = 90.00°, β = 90.00°, γ = 90.00°
Closest atoms and distances in Å follow each position.
Atoms (fractional coordinates):
Ga 0.5000 0.5000 0.7890  5 Ga 2.49-2.65
Ga 0.8191 0.6809 0.4355  3 Ga 2.56-2.63
Ga 0.8191 0.3191 0.5645  3 Ga 2.56-2.63
Ga 0.6809 0.8191 0.5645  3 Ga 2.56-2.63
Ga 0.7524 0.7476 0.8807  2 Ga 2.65, 1 In 2.96
Ga 0.1809 0.3191 0.4355  3 Ga 2.56-2.63
Ga 0.2476 0.7476 0.1193  2 Ga 2.65, 1 In 2.96
Ga 0.0000 0.0000 0.2110  5 Ga 2.49-2.65
Ga 0.0000 0.0000 0.3519  5 Ga 2.49-2.63
Ga 0.0000 0.0000 0.6481  5 Ga 2.49-2.63
Ga 0.7476 0.7524 0.1193  2 Ga 2.65, 1 In 2.96
Ga 0.5000 0.5000 0.3519  5 Ga 2.49-2.63
Ga 0.7476 0.2476 0.8807  2 Ga 2.65, 1 In 2.96
Ga 0.5000 0.5000 0.6481  5 Ga 2.49-2.63
Ga 0.3191 0.8191 0.4355  3 Ga 2.56-2.63
Ga 0.2524 0.2476 0.1193  2 Ga 2.65, 1 In 2.96
Ga 0.0000 0.0000 0.7890  5 Ga 2.49-2.65
Ga 0.2524 0.7524 0.8807  2 Ga 2.65, 1 In 2.96
Ga 0.7524 0.2524 0.1193  2 Ga 2.65, 1 In 2.96
Ga 0.2476 0.2524 0.8807  2 Ga 2.65, 1 In 2.96
Ga 0.1809 0.6809 0.5645  3 Ga 2.56-2.63
Ga 0.5000 0.5000 0.2110  5 Ga 2.49-2.65
Ga 0.3191 0.1809 0.5645  3 Ga 2.56-2.63
Ga 0.6809 0.1809 0.4355  3 Ga 2.56-2.63
Ce 0.5000 0.0000 0.7207  12 Ga 3.15-3.51
Ce 0.0000 0.5000 0.7207  12 Ga 3.15-3.51
Ce 0.0000 0.5000 0.2793  12 Ga 3.15-3.51
Ce 0.5000 0.0000 0.2793  12 Ga 3.15-3.51
In 0.0000 0.5000 0.0000  8 Ga 2.96-2.99
In 0.5000 0.0000 0.0000  8 Ga 2.96-2.99

---

# 3
Ce4In5Ga2: relaxed, PBE.

Summary:
As for the space group: P2/m, No. 10. Its density of states at the Fermi level is 22.43 states/eV/cell. As for the total energy: -4.3439 eV per atom. As for the energy relative to the elements: -391 meV/atom.

a = 3.2596 Å, b = 8.2597 Å, c = 10.3620 Å
α = 94.36°, β = 90.00°, γ = 90.00°
Closest atoms and distances in Å follow each position.
Atoms (fractional coordinates):
Ce 0.5000 0.8379 0.1284  2 Ga 3.10, 2 Ce 3.26, 8 In 3.38-3.43
Ce 0.5000 0.1621 0.8716  2 Ga 3.10, 2 Ce 3.26, 8 In 3.38-3.43
Ce 0.5000 0.7325 0.5486  4 Ga 3.13, 2 Ce 3.26, 6 In 3.35-3.41
Ce 0.5000 0.2675 0.4514  4 Ga 3.13, 2 Ce 3.26, 6 In 3.35-3.41
In 0.0000 0.4470 0.7061  4 In 3.04-3.26, 1 Ga 3.34, 4 Ce 3.35-3.39
In 0.0000 0.1975 0.1632  1 Ga 3.08, 4 In 3.12-3.26, 6 Ce 3.38-3.43
In 0.0000 0.5530 0.2939  4 In 3.04-3.26, 1 Ga 3.34, 4 Ce 3.35-3.39
In 0.0000 0.8025 0.8368  1 Ga 3.08, 4 In 3.12-3.26, 6 Ce 3.38-3.43
In 0.0000 0.5000 0.0000  6 In 3.04-3.26
Ga 0.0000 0.0475 0.6272  1 Ga 2.69
Ga 0.0000 0.9525 0.3728  1 Ga 2.69

---

# 4
Ce3InGa2: relaxed, PBE.

Summary:
As for the space group: P4/mmm, No. 123. Its density of states at the Fermi level is 11.23 states/eV/cell. As for the total energy: -4.8837 eV per atom. As for the energy relative to the elements: -451 meV/atom.

a = 3.2724 Å, b = 3.2724 Å, c = 13.4453 Å
α = 90.00°, β = 90.00°, γ = 90.00°
Closest atoms and distances in Å follow each position.
Atoms (fractional coordinates):
Ce 0.0000 0.0000 0.6842  4 Ga 3.13, 4 Ce 3.27, 4 In 3.39
Ce 0.0000 0.0000 0.3158  4 Ga 3.13, 4 Ce 3.27, 4 In 3.39
Ce 0.0000 0.0000 0.0000  8 Ga 3.15, 4 Ce 3.27
In 0.5000 0.5000 0.5000  4 In 3.27, 8 Ce 3.39
Ga 0.5000 0.5000 0.8406  8 Ce 3.13-3.15, 4 Ga 3.27
Ga 0.5000 0.5000 0.1594  8 Ce 3.13-3.15, 4 Ga 3.27

---

# 5
Ce2InGa: relaxed, PBE.

Summary:
As for the space group: P4/mmm, No. 123. Its density of states at the Fermi level is 8.12 states/eV/cell. The energy relative to the lowest polymorph listed for this composition comes out at 0 meV/atom. As for the total energy: -4.8177 eV per atom. As for the energy relative to the elements: -409 meV/atom.

a = 3.9441 Å, b = 3.9441 Å, c = 6.6172 Å
α = 90.00°, β = 90.00°, γ = 90.00°
Closest atoms and distances in Å follow each position.
Atoms (fractional coordinates):
Ce 0.0000 0.0000 0.2087  1 Ce 2.76
Ce 0.0000 0.0000 0.7913  1 Ce 2.76
In 0.5000 0.5000 0.5000  2 Ga 3.31, 8 Ce 3.39
Ga 0.5000 0.5000 0.0000  8 Ce 3.11, 2 In 3.31

---

# 6
Ce2In4Ga: relaxed, PBE.

Summary:
As for the space group: Cmce, No. 64. Its density of states at the Fermi level is 23.82 states/eV/cell. As for the total energy: -3.8435 eV per atom. As for the energy relative to the elements: -151 meV/atom.

a = 10.5731 Å, b = 6.0828 Å, c = 6.6845 Å
α = 117.06°, β = 90.00°, γ = 90.00°
Closest atoms and distances in Å follow each position.
Atoms (fractional coordinates):
In 0.2500 0.2498 0.0000  4 In 2.98-3.04, 2 Ga 3.05
In 0.7500 0.2502 0.0000  4 In 2.98-3.04, 2 Ga 3.05
In 0.7500 0.7502 0.0000  4 In 2.98-3.04, 2 Ga 3.05
In 0.7500 0.5012 0.5000  4 In 2.98-3.04
In 0.2500 0.4988 0.5000  4 In 2.98-3.04
In 0.2500 0.9988 0.5000  4 In 2.98-3.04
In 0.2500 0.7498 0.0000  4 In 2.98-3.04, 2 Ga 3.05
In 0.7500 0.0012 0.5000  4 In 2.98-3.04
Ga 0.0000 0.0000 0.0000  4 In 3.05, 4 Ce 3.34
Ga 0.5000 0.5000 0.0000  4 In 3.05, 4 Ce 3.34
Ce 0.5000 0.8851 0.7701  1 Ce 2.74
Ce 0.0000 0.6149 0.2299  1 Ce 2.74
Ce 0.0000 0.3851 0.7701  1 Ce 2.74
Ce 0.5000 0.1149 0.2299  1 Ce 2.74

---

# 7
Ce2In8Ga: relaxed, PBE.

Summary:
As for the space group: P4/mmm, No. 123. Its density of states at the Fermi level is 13.95 states/eV/cell. As for the total energy: -3.6033 eV per atom. As for the energy relative to the elements: -258 meV/atom.

a = 4.8334 Å, b = 4.8334 Å, c = 12.3399 Å
α = 90.00°, β = 90.00°, γ = 90.00°
Closest atoms and distances in Å follow each position.
Atoms (fractional coordinates):
In 0.0000 0.5000 0.8693  2 Ga 2.91, 1 In 3.23
In 0.5000 0.0000 0.8693  2 Ga 2.91, 1 In 3.23
In 0.0000 0.5000 0.1307  2 Ga 2.91, 1 In 3.23
In 0.0000 0.5000 0.5000  8 In 3.31-3.42, 4 Ce 3.34
In 0.5000 0.5000 0.6837  8 In 3.31-3.33, 4 Ce 3.42
In 0.5000 0.5000 0.3163  8 In 3.31-3.33, 4 Ce 3.42
In 0.5000 0.0000 0.1307  2 Ga 2.91, 1 In 3.23
In 0.5000 0.0000 0.5000  8 In 3.31-3.42, 4 Ce 3.34
Ce 0.0000 0.0000 0.3130  12 In 3.30-3.42
Ce 0.0000 0.0000 0.6870  12 In 3.30-3.42
Ga 0.0000 0.0000 0.0000  8 In 2.91

---

# 8
Ce4InGa3: relaxed, PBE.

Summary:
As for the space group: Pmmm, No. 47. Its density of states at the Fermi level is 18.45 states/eV/cell. The energy relative to the lowest polymorph listed for this composition comes out at 0 meV/atom. As for the total energy: -4.8447 eV per atom. As for the energy relative to the elements: -400 meV/atom.

a = 3.1344 Å, b = 5.6347 Å, c = 11.2044 Å
α = 90.00°, β = 90.00°, γ = 90.00°
Closest atoms and distances in Å follow each position.
Atoms (fractional coordinates):
Ce 0.0000 0.5000 0.2620  6 Ga 3.09-3.23, 2 Ce 3.13, 2 In 3.33
Ce 0.0000 0.5000 0.7380  6 Ga 3.09-3.23, 2 Ce 3.13, 2 In 3.33
Ce 0.0000 0.0000 0.0000  2 Ce 3.13, 4 Ga 3.20, 4 In 3.22
Ce 0.0000 0.0000 0.5000  2 Ce 3.13, 8 Ga 3.22
In 0.5000 0.5000 0.0000  2 In 3.13, 8 Ce 3.22-3.33
Ga 0.5000 0.0000 0.7506  2 Ga 3.13, 8 Ce 3.20-3.23
Ga 0.5000 0.5000 0.5000  8 Ce 3.09-3.22, 2 Ga 3.13
Ga 0.5000 0.0000 0.2494  2 Ga 3.13, 8 Ce 3.20-3.23

---

# 9
Ce2InGa: relaxed, PBE.

Summary:
As for the space group: Fm-3m, No. 225. Its density of states at the Fermi level is 13.53 states/eV/cell. The energy relative to the lowest polymorph listed for this composition comes out at 67 meV/atom. As for the total energy: -4.7507 eV per atom. As for the energy relative to the elements: -342 meV/atom.

a = 5.3162 Å, b = 5.3162 Å, c = 5.3162 Å
α = 60.00°, β = 60.00°, γ = 60.00°
Closest atoms and distances in Å follow each position.
Atoms (fractional coordinates):
In 0.0000 0.0000 0.0000  8 Ce 3.26
Ga 0.5000 0.5000 0.5000  8 Ce 3.26
Ce 0.7500 0.7500 0.7500  4 In 3.26, 4 Ga 3.26
Ce 0.2500 0.2500 0.2500  4 In 3.26, 4 Ga 3.26

---

# 10
Ce8InGa6: relaxed, PBE.

Summary:
As for the space group: R-3, No. 148. Its density of states at the Fermi level is 36.47 states/eV/cell. As for the total energy: -4.7934 eV per atom. As for the energy relative to the elements: -235 meV/atom.

a = 8.6881 Å, b = 8.6881 Å, c = 7.9082 Å
α = 56.68°, β = 56.68°, γ = 60.00°
Closest atoms and distances in Å follow each position.
Atoms (fractional coordinates):
Ga 0.4113 0.0347 0.8058  7 Ce 2.92-3.26, 1 In 3.12
Ga 0.5887 0.9653 0.1942  7 Ce 2.92-3.26, 1 In 3.12
Ga 0.2518 0.5887 0.1942  7 Ce 2.92-3.26, 1 In 3.12
Ga 0.0347 0.7482 0.8058  7 Ce 2.92-3.26, 1 In 3.12
Ga 0.9653 0.2518 0.1942  7 Ce 2.92-3.26, 1 In 3.12
Ga 0.7482 0.4113 0.8058  7 Ce 2.92-3.26, 1 In 3.12
Ce 0.6324 0.6324 0.1027  3 Ce 2.99, 6 Ga 3.15-3.26
Ce 0.8771 0.5811 0.2960  5 Ga 2.92-3.14, 1 Ce 2.99
Ce 0.1229 0.4189 0.7040  5 Ga 2.92-3.14, 1 Ce 2.99
Ce 0.3676 0.3676 0.8973  3 Ce 2.99, 6 Ga 3.15-3.26
Ce 0.4189 0.7542 0.7040  5 Ga 2.92-3.14, 1 Ce 2.99
Ce 0.7542 0.1229 0.7040  5 Ga 2.92-3.14, 1 Ce 2.99
Ce 0.2458 0.8771 0.2960  5 Ga 2.92-3.14, 1 Ce 2.99
Ce 0.5811 0.2458 0.2960  5 Ga 2.92-3.14, 1 Ce 2.99
In 0.0000 0.0000 0.0000  6 Ga 3.12, 6 Ce 3.41

---

# 11
Ce7In2Ga2: relaxed, PBE.

Summary:
As for the space group: Cmmm, No. 65. Its density of states at the Fermi level is 32.00 states/eV/cell. As for the total energy: -4.9051 eV per atom. As for the energy relative to the elements: -81 meV/atom.

a = 7.0422 Å, b = 6.8298 Å, c = 7.0422 Å
α = 90.02°, β = 105.39°, γ = 89.98°
Closest atoms and distances in Å follow each position.
Atoms (fractional coordinates):
Ce 0.4998 0.7022 0.9999  1 Ce 2.76, 2 Ga 2.98
Ce 0.4999 0.2883 0.5001  1 Ce 2.89, 2 Ga 3.10
Ce 0.5001 0.7117 0.4999  1 Ce 2.89, 2 Ga 3.10
Ce 0.9999 0.2978 0.4998  1 Ce 2.76, 2 Ga 2.98
Ce 0.5002 0.2978 0.0001  1 Ce 2.76, 2 Ga 2.98
Ce 0.0001 0.7022 0.5002  1 Ce 2.76, 2 Ga 2.98
Ce 0.0000 0.0000 0.0000  2 Ga 3.21
Ga 0.2864 0.0001 0.7136  7 Ce 2.98-3.21
Ga 0.7136 0.9999 0.2864  7 Ce 2.98-3.21
In 0.1601 0.5000 0.1601  1 In 2.73
In 0.8399 0.5000 0.8399  1 In 2.73

---

# 12
Ce8In2Ga: relaxed, PBE.

Summary:
As for the space group: C2/m, No. 12. Its density of states at the Fermi level is 32.34 states/eV/cell. As for the total energy: -5.2690 eV per atom. As for the energy relative to the elements: -180 meV/atom.

a = 5.1738 Å, b = 6.8962 Å, c = 8.9367 Å
α = 107.14°, β = 106.83°, γ = 90.00°
Closest atoms and distances in Å follow each position.
Atoms (fractional coordinates):
Ce 0.6043 0.4356 0.2085  3 Ce 2.96-3.08, 1 Ga 2.98, 2 In 3.19
Ce 0.1875 0.1437 0.3750  3 Ce 2.78-3.09
Ce 0.3458 0.1131 0.6916  4 Ce 2.78-3.09, 1 Ga 2.97
Ce 0.9969 0.6904 0.9938  1 Ce 2.66
Ce 0.8125 0.8563 0.6250  3 Ce 2.78-3.09
Ce 0.3957 0.5644 0.7915  3 Ce 2.96-3.08, 1 Ga 2.98, 2 In 3.19
Ce 0.0031 0.3096 0.0062  1 Ce 2.66
Ce 0.6542 0.8869 0.3084  4 Ce 2.78-3.09, 1 Ga 2.97
Ga 0.5000 0.0000 0.0000  4 Ce 2.97-2.98
In 0.7984 0.3463 0.5967  11 Ce 3.19-3.56
In 0.2016 0.6537 0.4033  11 Ce 3.19-3.56

---

Question: Look up the total energy of the first one.
Answer: -4.3205 eV per atom

---

Question: energy relative to the elements of number 9 (Ce2InGa)?
Answer: -342 meV/atom

---

Question: Among the records above, which one has the highest energy relative to the elements?
Answer: Ce5In3Ga3